Record 1
The following is a DFT calculation (GGA-PBE) of a geometry-optimized NiAgOs structure.

The structure in POSCAR format:
```
NiAgOs
1.0
0.000 2.956 2.956
2.956 0.000 2.956
2.956 2.956 0.000
Ni Ag Os
1 1 1
direct
0.000 0.000 0.000
0.750 0.750 0.750
0.500 0.500 0.500
```

Results
As for the crystal system: cubic. For the formation energy, the calculation gives 1561 meV/atom. As for the energy above the most stable polymorph in this dataset: 1210 meV/atom. As for the total magnetic moment: 1.62 Bohr magnetons per cell.

Record 2
The following is a DFT calculation (GGA-PBE) of a geometry-optimized NiAgOs structure.

The structure in POSCAR format:
```
NiAgOs
1.0
0.000 2.275 6.930
1.392 0.000 6.930
1.392 2.275 0.000
Ni Ag Os
1 1 1
direct
0.000 0.000 0.000
0.334 0.334 0.666
0.648 0.648 0.352
```

Results
As for the crystal system: orthorhombic. For the formation energy, the calculation gives 502 meV/atom. As for the energy above the most stable polymorph in this dataset: 152 meV/atom. As for the total magnetic moment: 0.00 Bohr magnetons per cell.

Record 3
The following is a DFT calculation (GGA-PBE) of a geometry-optimized NiAgOs4 structure.

The structure in POSCAR format:
```
NiAgOs4
1.0
0.000 3.636 3.636
3.636 0.000 3.636
3.636 3.636 0.000
Ni Ag Os
1 1 4
direct
0.000 0.000 0.000
0.250 0.250 0.250
0.124 0.625 0.625
0.625 0.124 0.625
0.625 0.625 0.124
0.625 0.625 0.625
```

Results
As for the crystal system: cubic. For the formation energy, the calculation gives 961 meV/atom. As for the total magnetic moment: 0.28 Bohr magnetons per cell.